[1]
# InCu2As

Crystalline InCu2As at its relaxed geometry (PBE, Alexandria via LeMat-Bulk).

abc: 2.9945 2.9945 7.4197
angles: 90.00 90.00 90.13
Sites, in units of the cell vectors:
Cu (0.0000, 0.0000, 0.5188)
Cu (0.0000, 0.0000, 0.9812)
As (0.5000, 0.5000, 0.7500)
In (0.5000, 0.5000, 0.2500)

- D(E_F): 1.73 states/eV per cell
- Final energy: -3.695 eV per atom
- Space group: Cmmm (65)
- Formation energy from the elements: 200 meV per atom

---

[2]
# RbAsO3

Crystalline RbAsO3 at its relaxed geometry (PBE, Alexandria via LeMat-Bulk).

abc: 3.8783 3.8783 3.8783
angles: 90.00 90.00 90.00
Sites, in units of the cell vectors:
O (0.0000, 0.0000, 0.5000)
O (0.0000, 0.5000, 0.0000)
O (0.5000, 0.0000, 0.0000)
Rb (0.5000, 0.5000, 0.5000)
As (0.0000, 0.0000, 0.0000)

- D(E_F): 2.23 states/eV per cell
- Uncorrected formation energy: -0.933 eV/atom
- Final energy: -5.032 eV per atom
- Space group: Pm-3m (221)